The following is a PBE calculation of an optimized crystal structure of FeAgIr2, from Alexandria.

Structure (CIF):
```
data_FeAgIr2
_cell_length_a 6.1318
_cell_length_b 6.1318
_cell_length_c 6.1318
_cell_angle_alpha 90.00
_cell_angle_beta 90.00
_cell_angle_gamma 90.00
_space_group_name_H-M_alt 'F m -3 m'
_space_group_IT_number 225
_space_group_name_Hall '-F 4 2 3'
loop_
_atom_site_label
_atom_site_type_symbol
_atom_site_fract_x
_atom_site_fract_y
_atom_site_fract_z
Fe1 Fe 0.0000 0.0000 0.0000
Ag1 Ag 0.0000 0.0000 0.5000
Ir1 Ir 0.2500 0.2500 0.2500
```

Results
The energy relative to the lowest polymorph listed for this composition is 576 meV/atom. Its density of states at the Fermi level is 2.726 states/eV per atom. The value obtained for the total energy is -6.56 eV/atom. The magnetization is 0.0 μB/cell.

=====

The following is a PBE calculation of an optimized crystal structure of NpP2Ru4, from Alexandria.

Structure (CIF):
```
data_NpP2Ru4
_cell_length_a 3.9726
_cell_length_b 13.5816
_cell_length_c 3.9441
_cell_angle_alpha 90.00
_cell_angle_beta 90.00
_cell_angle_gamma 90.00
_space_group_name_H-M_alt 'C m m m'
_space_group_IT_number 65
_space_group_name_Hall '-C 2 2'
loop_
_atom_site_label
_atom_site_type_symbol
_atom_site_fract_x
_atom_site_fract_y
_atom_site_fract_z
Np1 Np 0.0000 0.0000 0.0000
P1 P 0.0000 0.4139 0.5000
Ru1 Ru 0.0000 0.1809 0.5000
Ru2 Ru 0.0000 0.3190 0.0000
```

Results
The energy relative to the lowest polymorph listed for this composition is 75 meV/atom. Its density of states at the Fermi level is 1.969 states/eV per atom. The value obtained for the total energy is -9.13 eV/atom. The magnetization is 7.3 μB/cell.

=====

The following is a PBE calculation of an optimized crystal structure of YMgPt2, from Alexandria.

Structure (CIF):
```
data_YMgPt2
_cell_length_a 4.6682
_cell_length_b 4.6682
_cell_length_c 3.4889
_cell_angle_alpha 90.00
_cell_angle_beta 90.00
_cell_angle_gamma 90.00
_space_group_name_H-M_alt 'P 4/m m m'
_space_group_IT_number 123
_space_group_name_Hall '-P 4 2'
loop_
_atom_site_label
_atom_site_type_symbol
_atom_site_fract_x
_atom_site_fract_y
_atom_site_fract_z
Y1 Y 0.0000 0.0000 0.0000
Mg1 Mg 0.5000 0.5000 0.0000
Pt1 Pt 0.0000 0.5000 0.5000
```

Results
Its density of states at the Fermi level is 0.338 states/eV per atom. The value obtained for the total energy is -6.02 eV/atom. The magnetization is 0.0 μB/cell.

=====

The following is a PBE calculation of an optimized crystal structure of Ca2BeSi, from Alexandria.

Structure (CIF):
```
data_Ca2BeSi
_cell_length_a 8.7030
_cell_length_b 3.4821
_cell_length_c 6.8849
_cell_angle_alpha 90.00
_cell_angle_beta 100.46
_cell_angle_gamma 90.00
_space_group_name_H-M_alt 'C 1 2/m 1'
_space_group_IT_number 12
_space_group_name_Hall '-C 2y'
loop_
_atom_site_label
_atom_site_type_symbol
_atom_site_fract_x
_atom_site_fract_y
_atom_site_fract_z
Ca1 Ca 0.2455 0.0000 0.2395
Be1 Be 0.0000 0.0000 0.5000
Si1 Si 0.0000 0.5000 0.0000
```

Results
The energy relative to the lowest polymorph listed for this composition is 544 meV/atom. Its uncorrected formation energy is 333 meV per atom. Its density of states at the Fermi level is 0.889 states/eV per atom. The value obtained for the total energy is -2.95 eV/atom. The magnetization is 0.0 μB/cell.

=====

The following is a PBE calculation of an optimized crystal structure of MgTiTe2, from Alexandria.

Structure (CIF):
```
data_MgTiTe2
_cell_length_a 4.2147
_cell_length_b 4.2147
_cell_length_c 25.7386
_cell_angle_alpha 90.00
_cell_angle_beta 90.00
_cell_angle_gamma 120.00
_space_group_name_H-M_alt 'R -3 m'
_space_group_IT_number 166
_space_group_name_Hall '-R 3 2"'
loop_
_atom_site_label
_atom_site_type_symbol
_atom_site_fract_x
_atom_site_fract_y
_atom_site_fract_z
Mg1 Mg 0.0000 0.0000 0.0000
Ti1 Ti 0.0000 0.0000 0.5000
Te1 Te 0.0000 0.0000 0.3975
```

Results
Its uncorrected formation energy is -10 meV per atom. Its density of states at the Fermi level is 0.518 states/eV per atom. The value obtained for the total energy is -3.95 eV/atom. The magnetization is 5.9 μB/cell.

=====

The following is a PBE calculation of an optimized crystal structure of Mg12Tl3Pb, from Alexandria.

Structure (CIF):
```
data_Mg12Tl3Pb
_cell_length_a 4.4934
_cell_length_b 4.4934
_cell_length_c 18.5257
_cell_angle_alpha 90.00
_cell_angle_beta 90.00
_cell_angle_gamma 90.00
_space_group_name_H-M_alt 'P 4/m m m'
_space_group_IT_number 123
_space_group_name_Hall '-P 4 2'
loop_
_atom_site_label
_atom_site_type_symbol
_atom_site_fract_x
_atom_site_fract_y
_atom_site_fract_z
Mg1 Mg 0.0000 0.0000 0.0000
Mg2 Mg 0.0000 0.0000 0.2489
Mg3 Mg 0.0000 0.0000 0.5000
Mg4 Mg 0.0000 0.5000 0.1243
Mg5 Mg 0.0000 0.5000 0.3728
Tl1 Tl 0.5000 0.5000 0.0000
Tl2 Tl 0.5000 0.5000 0.2493
Pb1 Pb 0.5000 0.5000 0.5000
```

Results
Its density of states at the Fermi level is 0.332 states/eV per atom. The value obtained for the total energy is -1.92 eV/atom. The magnetization is 0.0 μB/cell.

=====

The following is a PBE calculation of an optimized crystal structure of Li2MgAg2, from Alexandria.

Structure (CIF):
```
data_Li2MgAg2
_cell_length_a 3.7202
_cell_length_b 3.7202
_cell_length_c 13.4371
_cell_angle_alpha 90.00
_cell_angle_beta 90.00
_cell_angle_gamma 90.00
_space_group_name_H-M_alt 'I 4/m m m'
_space_group_IT_number 139
_space_group_name_Hall '-I 4 2'
loop_
_atom_site_label
_atom_site_type_symbol
_atom_site_fract_x
_atom_site_fract_y
_atom_site_fract_z
Li1 Li 0.0000 0.5000 0.2500
Mg1 Mg 0.0000 0.0000 0.0000
Ag1 Ag 0.0000 0.0000 0.3974
```

Results
The energy relative to the lowest polymorph listed for this composition is 109 meV/atom. Its density of states at the Fermi level is 0.319 states/eV per atom. The value obtained for the total energy is -2.29 eV/atom. The magnetization is 0.0 μB/cell.

=====

The following is a PBE calculation of an optimized crystal structure of TcTePCl2, from Alexandria.

Structure (CIF):
```
data_TcTePCl2
_cell_length_a 5.1236
_cell_length_b 5.1236
_cell_length_c 5.4924
_cell_angle_alpha 90.00
_cell_angle_beta 90.00
_cell_angle_gamma 90.00
_space_group_name_H-M_alt 'P 4/m m m'
_space_group_IT_number 123
_space_group_name_Hall '-P 4 2'
loop_
_atom_site_label
_atom_site_type_symbol
_atom_site_fract_x
_atom_site_fract_y
_atom_site_fract_z
Tc1 Tc 0.0000 0.0000 0.0000
Te1 Te 0.5000 0.5000 0.5000
P1 P 0.5000 0.5000 0.0000
Cl1 Cl 0.0000 0.5000 0.5000
```

Results
The energy relative to the lowest polymorph listed for this composition is 803 meV/atom. Its uncorrected formation energy is 1099 meV per atom. Its density of states at the Fermi level is 0.483 states/eV per atom. The value obtained for the total energy is -3.42 eV/atom. The magnetization is 4.8 μB/cell.